Model w:
Below is a geometry-optimized Ba5Tl structure, with properties calculated at the PBE level.

Properties
- Spin magnetization: 0.000 μB/f.u.

Lattice parameters (Å, degrees): 10.450 10.450 6.661 90.00 90.00 153.94
Sites, in units of the cell vectors:
Ba1 0.309 0.691 0.000
Ba2 0.780 0.220 0.500
Tl1 0.139 0.861 0.500
Ba3 0.639 0.361 0.000
Ba4 0.498 0.502 0.500
Ba5 0.970 0.030 0.000


Model x:
Below is a geometry-optimized Ba5Tl structure, with properties calculated at the PBE level.

Properties
- Spin magnetization: 0.044 μB/f.u.

Lattice parameters (Å, degrees): 7.859 7.859 7.859 60.00 60.00 60.00
Sites, in units of the cell vectors:
Ba1 0.626 0.121 0.626
Ba2 0.626 0.626 0.626
Tl1 0.000 0.000 0.000
Ba3 0.626 0.626 0.121
Ba4 0.121 0.626 0.626
Ba5 0.250 0.250 0.250


Going by the computed energies, the most stable comes first: model w, model x.


Model w:
Below is a geometry-optimized Ba5Tl structure, with properties calculated at the PBE level.

Properties
- Spin magnetization: 0.000 μB/f.u.

Lattice parameters (Å, degrees): 7.938 7.938 10.683 68.18 68.18 32.38
Sites, in units of the cell vectors:
Ba1 0.032 0.032 0.390
Ba2 0.063 0.063 0.980
Tl1 0.694 0.694 0.112
Ba3 0.326 0.326 0.241
Ba4 0.356 0.356 0.833
Ba5 0.695 0.695 0.611


Model x:
Below is a geometry-optimized Ba5Tl structure, with properties calculated at the PBE level.

Properties
- Spin magnetization: 0.001 μB/f.u.

Lattice parameters (Å, degrees): 7.414 7.414 6.491 90.00 90.00 120.00
Sites, in units of the cell vectors:
Ba1 0.667 0.333 0.500
Tl1 0.000 0.000 0.500
Ba2 0.300 0.300 0.000
Ba3 0.700 0.000 0.000
Ba4 0.333 0.667 0.500
Ba5 0.000 0.700 0.000


Model y:
Below is a geometry-optimized Ba5Tl structure, with properties calculated at the PBE level.

Properties
- Spin magnetization: 0.000 μB/f.u.

Lattice parameters (Å, degrees): 9.097 9.097 10.191 116.51 116.51 90.00
Sites, in units of the cell vectors:
Ba1 0.807 0.979 0.286
Ba2 0.021 0.521 0.714
Ba3 0.193 0.021 0.714
Ba4 0.500 0.500 0.000
Ba5 0.307 0.807 0.286
Ba6 0.479 0.307 0.286
Ba7 0.000 0.000 0.000
Ba8 0.979 0.479 0.286
Ba9 0.693 0.193 0.714
Tl1 0.250 0.250 0.500
Tl2 0.750 0.750 0.500
Ba10 0.521 0.693 0.714


Model z:
Below is a geometry-optimized Ba5Tl structure, with properties calculated at the PBE level.

Properties
- Spin magnetization: 0.235 μB/f.u.

Lattice parameters (Å, degrees): 4.363 4.363 17.646 90.00 90.00 90.00
Sites, in units of the cell vectors:
Tl1 0.500 0.500 0.000
Ba1 0.500 0.500 0.312
Ba2 0.500 0.500 0.688
Ba3 0.000 0.000 0.500
Ba4 0.000 0.000 0.886
Ba5 0.000 0.000 0.114


Going by the computed energies, the most stable comes first: model w, model z, model y, model x.


Model w:
Below is a geometry-optimized Ba4Tl3 structure, with properties calculated at the PBE level.

Properties
- Spin magnetization: 0.000 μB/f.u.

Lattice parameters (Å, degrees): 6.815 6.815 7.385 90.00 90.00 120.00
Sites, in units of the cell vectors:
Ba1 0.333 0.667 0.500
Tl1 0.000 0.500 0.000
Tl2 0.500 0.000 0.000
Ba2 0.000 0.000 0.767
Ba3 0.667 0.333 0.500
Ba4 0.000 0.000 0.233
Tl3 0.500 0.500 0.000


Model x:
Below is a geometry-optimized Ba4Tl3 structure, with properties calculated at the PBE level.

Properties
- Spin magnetization: 0.000 μB/f.u.

Lattice parameters (Å, degrees): 6.064 6.064 10.424 73.09 73.09 60.00
Sites, in units of the cell vectors:
Ba1 0.624 0.624 0.128
Ba2 0.376 0.376 0.872
Tl1 0.000 0.000 0.000
Ba3 0.876 0.876 0.373
Tl2 0.748 0.748 0.755
Ba4 0.124 0.124 0.627
Tl3 0.252 0.252 0.245


Going by the computed energies, the most stable comes first: model x, model w.


Model w:
Below is a geometry-optimized Ba3Tl2 structure, with properties calculated at the PBE level.

Properties
- Spin magnetization: 0.000 μB/f.u.

Lattice parameters (Å, degrees): 6.017 6.017 7.433 90.00 90.00 120.00
Sites, in units of the cell vectors:
Ba1 0.000 0.000 0.000
Tl1 0.667 0.333 0.150
Ba2 0.333 0.667 0.334
Ba3 0.667 0.333 0.666
Tl2 0.333 0.667 0.850


Model x:
Below is a geometry-optimized Ba3Tl2 structure, with properties calculated at the PBE level.

Properties
- Spin magnetization: 0.235 μB/f.u.

Lattice parameters (Å, degrees): 14.604 14.604 14.604 17.46 17.46 17.46
Sites, in units of the cell vectors:
Ba1 0.000 0.000 0.000
Tl1 0.395 0.395 0.395
Ba2 0.787 0.787 0.787
Ba3 0.213 0.213 0.213
Tl2 0.605 0.605 0.605


Model y:
Below is a geometry-optimized Ba3Tl2 structure, with properties calculated at the PBE level.

Properties
- Spin magnetization: 0.000 μB/f.u.

Lattice parameters (Å, degrees): 4.356 4.356 12.205 100.28 100.28 90.00
Sites, in units of the cell vectors:
Ba1 0.000 0.000 0.000
Ba2 0.174 0.174 0.348
Tl1 0.408 0.408 0.815
Ba3 0.826 0.826 0.652
Tl2 0.592 0.592 0.185


Going by the computed energies, the most stable comes first: model y, model w, model x.